i) {"formula": "K2ScCl", "functional": "SCAN", "state": "single point on PBEsol structure", "mass_density_g_cm3": 2.04, "total_magnetization_mub_per_fu": 1.4, "sg": "P4/mmm (123)", "cell": [[3.515, 0.000, 0.000], [0.000, 3.515, 0.000], [0.000, 0.000, 10.434]], "species": ["Sc", "K", "K", "Cl"], "fractional_positions": [[0.500, 0.500, 0.000], [0.000, 0.000, 0.683], [0.000, 0.000, 0.317], [0.500, 0.500, 0.500]]}



ii) {"formula": "K2ScCl", "functional": "SCAN", "state": "single point on PBEsol structure", "mass_density_g_cm3": 1.86, "total_magnetization_mub_per_fu": 2.0, "sg": "Immm (71)", "cell": [[3.491, 0.000, 0.000], [0.000, 6.160, 0.000], [-1.745, -3.080, 6.576]], "species": ["Sc", "K", "K", "Cl"], "fractional_positions": [[0.500, 0.000, 0.000], [0.684, 0.684, 0.368], [0.316, 0.316, 0.632], [0.000, 0.500, 0.000]]}



Which of them is the most stable? Correct choice: i).



i) {"formula": "KSc2Cl", "functional": "SCAN", "state": "single point on PBEsol structure", "mass_density_g_cm3": 2.52, "total_magnetization_mub_per_fu": 1.2, "sg": "Pm (6)", "cell": [[-3.250, -0.721, -0.035], [0.741, -3.343, 0.064], [-0.507, 1.816, 9.481]], "species": ["Sc", "Sc", "K", "Cl"], "fractional_positions": [[0.000, 0.963, 0.049], [0.500, 0.572, 0.268], [0.500, 0.284, 0.696], [0.000, 0.680, 0.487]]}



ii) {"formula": "KSc2Cl", "functional": "SCAN", "state": "single point on PBEsol structure", "mass_density_g_cm3": 2.59, "total_magnetization_mub_per_fu": 0.0, "sg": "R-3m (166)", "cell": [[3.571, 0.000, 0.000], [1.786, 3.093, 0.000], [1.786, 1.031, 9.530]], "species": ["Sc", "Sc", "K", "Cl"], "fractional_positions": [[0.217, 0.217, 0.349], [0.783, 0.783, 0.651], [0.000, 0.000, 0.000], [0.500, 0.500, 0.500]]}



Which of them is the most stable? Correct choice: i).



i) {"formula": "KSiCl2", "functional": "SCAN", "state": "single point on PBEsol structure", "mass_density_g_cm3": 2.37, "total_magnetization_mub_per_fu": 0.0, "sg": "Pmm2 (25)", "cell": [[3.476, 0.000, 0.000], [0.000, 5.225, 0.000], [0.000, 0.000, 5.327]], "species": ["Cl", "Cl", "K", "Si"], "fractional_positions": [[0.500, 0.000, 0.858], [0.500, 0.500, 0.431], [0.000, 0.000, 0.352], [0.500, 0.500, 0.860]]}



ii) {"formula": "KSiCl2", "functional": "SCAN", "state": "single point on PBEsol structure", "mass_density_g_cm3": 2.52, "total_magnetization_mub_per_fu": 0.0, "sg": "Fm-3m (225)", "cell": [[5.050, 0.000, 0.000], [2.525, 4.373, 0.000], [2.525, 1.458, 4.123]], "species": ["Cl", "Cl", "K", "Si"], "fractional_positions": [[0.250, 0.250, 0.250], [0.750, 0.750, 0.750], [0.500, 0.500, 0.500], [0.000, 0.000, 0.000]]}



Which of them is the most stable? Correct choice: i).



i) {"formula": "KSrCl2", "functional": "SCAN", "state": "single point on PBEsol structure", "mass_density_g_cm3": 2.45, "total_magnetization_mub_per_fu": 0.6, "sg": "Cm (8)", "cell": [[3.893, 0.000, 0.000], [0.000, 4.258, 0.124], [-1.946, -0.244, 8.080]], "species": ["Sr", "K", "Cl", "Cl"], "fractional_positions": [[0.712, 0.125, 0.424], [0.465, 0.625, 0.930], [0.074, 0.124, 0.148], [0.248, 0.625, 0.497]]}



ii) {"formula": "KSrCl2", "functional": "SCAN", "state": "single point on PBEsol structure", "mass_density_g_cm3": 3.07, "total_magnetization_mub_per_fu": 0.0, "sg": "P4/mmm (123)", "cell": [[-1.782, -0.449, -3.114], [-0.192, -5.360, 0.883], [-4.726, 0.601, 2.617]], "species": ["Sr", "K", "Cl", "Cl"], "fractional_positions": [[0.500, 0.000, 0.000], [0.500, 0.500, 0.500], [0.000, 0.000, 0.500], [0.000, 0.500, 0.000]]}



Which of them is the most stable? Correct choice: i).



i) {"formula": "KSrCl2", "functional": "SCAN", "state": "single point on PBEsol structure", "mass_density_g_cm3": 2.11, "total_magnetization_mub_per_fu": 0.0, "sg": "Cmmm (65)", "cell": [[-0.480, 1.993, -3.585], [-3.603, -2.968, 1.212], [-3.940, 6.467, 4.123]], "species": ["Sr", "K", "Cl", "Cl"], "fractional_positions": [[0.500, 0.000, 0.000], [0.500, 0.000, 0.500], [0.000, 0.000, 0.761], [0.000, 0.000, 0.239]]}



ii) {"formula": "KSrCl2", "functional": "SCAN", "state": "single point on PBEsol structure", "mass_density_g_cm3": 2.28, "total_magnetization_mub_per_fu": 0.0, "sg": "Pmmm (47)", "cell": [[-1.340, 1.317, -3.661], [-3.994, 0.281, 1.562], [1.424, 7.707, 2.252]], "species": ["Sr", "K", "Cl", "Cl"], "fractional_positions": [[0.500, 0.000, 0.500], [0.500, 0.500, 0.000], [0.000, 0.000, 0.000], [0.000, 0.500, 0.500]]}



Which of them is the most stable? Correct choice: i).



i) {"formula": "K2SrCl", "functional": "SCAN", "state": "single point on PBEsol structure", "mass_density_g_cm3": 2.00, "total_magnetization_mub_per_fu": 0.1, "sg": "P2/m (10)", "cell": [[3.896, 0.000, 0.031], [0.000, 3.897, 0.000], [-0.132, 0.000, 11.026]], "species": ["Sr", "K", "K", "Cl"], "fractional_positions": [[0.500, 0.500, 0.000], [0.000, 0.000, 0.664], [0.000, 0.000, 0.336], [0.500, 0.500, 0.500]]}



ii) {"formula": "K2SrCl", "functional": "SCAN", "state": "single point on PBEsol structure", "mass_density_g_cm3": 1.71, "total_magnetization_mub_per_fu": 0.0, "sg": "F-43m (216)", "cell": [[6.517, 0.000, 0.000], [3.259, 5.644, 0.000], [3.259, 1.881, 5.321]], "species": ["Sr", "K", "K", "Cl"], "fractional_positions": [[0.250, 0.250, 0.250], [0.000, 0.000, 0.000], [0.750, 0.750, 0.750], [0.500, 0.500, 0.500]]}



Which of them is the most stable? Correct choice: i).



i) {"formula": "KTa2Cl", "functional": "SCAN", "state": "single point on PBEsol structure", "mass_density_g_cm3": 7.87, "total_magnetization_mub_per_fu": 0.0, "sg": "Pm (6)", "cell": [[-0.215, -2.974, -0.246], [3.464, -0.255, 0.056], [-1.826, -0.596, 8.800]], "species": ["K", "Cl", "Ta", "Ta"], "fractional_positions": [[0.500, 0.289, 0.712], [0.000, 0.681, 0.483], [0.000, 0.961, 0.064], [0.500, 0.570, 0.241]]}



ii) {"formula": "KTa2Cl", "functional": "SCAN", "state": "single point on PBEsol structure", "mass_density_g_cm3": 7.70, "total_magnetization_mub_per_fu": 0.0, "sg": "P2/m (10)", "cell": [[3.099, -0.009, 0.000], [-0.054, 4.522, 0.000], [0.000, 0.000, 6.718]], "species": ["K", "Cl", "Ta", "Ta"], "fractional_positions": [[0.500, 0.500, 0.500], [0.000, 0.000, 0.500], [0.243, 0.262, 0.000], [0.757, 0.738, 0.000]]}



Which of them is the most stable? Correct choice: i).



i) {"formula": "K2TcCl", "functional": "SCAN", "state": "single point on PBEsol structure", "mass_density_g_cm3": 3.61, "total_magnetization_mub_per_fu": 3.1, "sg": "R-3m (166)", "cell": [[-2.699, 1.909, 0.301], [-1.780, 0.793, -2.687], [-7.232, -7.426, 0.551]], "species": ["K", "K", "Tc", "Cl"], "fractional_positions": [[0.261, 0.261, 0.216], [0.739, 0.739, 0.784], [0.500, 0.500, 0.500], [0.000, 0.000, 0.000]]}



ii) {"formula": "K2TcCl", "functional": "SCAN", "state": "single point on PBEsol structure", "mass_density_g_cm3": 3.15, "total_magnetization_mub_per_fu": 3.7, "sg": "P4/mmm (123)", "cell": [[-1.642, -0.385, 2.772], [-2.292, -4.991, -2.050], [4.509, -2.997, 2.255]], "species": ["K", "K", "Tc", "Cl"], "fractional_positions": [[0.000, 0.000, 0.000], [0.000, 0.500, 0.500], [0.500, 0.500, 0.000], [0.500, 0.000, 0.500]]}



Which of them is the most stable? Correct choice: i).